Entry 1:
SrReP3 after structural relaxation, computed with PBEsol.

Summary:
Energy of formation from the pure elements   2.479 eV/atom

a b c (Å): 5.1579 5.1579 5.1579
angles (deg): 90.00 90.00 90.00
Space group Pm-3m (No. 221)
Symmetry-distinct sites (fractional):
Sr: 0.0000 0.0000 0.0000 x1
Re: 0.5000 0.5000 0.5000 x1
P: 0.0000 0.0000 0.5000 x3

***

Entry 2:
TaReP after structural relaxation, computed with PBEsol.

Summary:
Energy of formation from the pure elements   -0.329 eV/atom

a b c (Å): 2.9335 2.9335 10.0622
angles (deg): 90.00 90.00 90.00
Space group I4mm (No. 107)
Symmetry-distinct sites (fractional):
Ta: 0.0000 0.0000 0.0000 x2
Re: 0.0000 0.0000 0.2990 x2
P: 0.0000 0.0000 0.6763 x2

***

Entry 3:
Ta2ReP after structural relaxation, computed with PBEsol.

Summary:
Energy of formation from the pure elements   0.011 eV/atom

a b c (Å): 2.9193 2.9193 25.6053
angles (deg): 90.00 90.00 120.00
Space group R3m (No. 160, hexagonal axes)
Symmetry-distinct sites (fractional):
Ta: 0.0000 0.0000 0.0000 x3
Ta: 0.0000 0.0000 0.2365 x3
Re: 0.0000 0.0000 0.7564 x3
P: 0.0000 0.0000 0.4898 x3

***

Entry 4:
TaReP2 after structural relaxation, computed with PBEsol.

Summary:
Energy of formation from the pure elements   -0.213 eV/atom

a b c (Å): 3.0030 3.0030 22.4767
angles (deg): 90.00 90.00 120.00
Space group R3m (No. 160, hexagonal axes)
Symmetry-distinct sites (fractional):
Ta: 0.0000 0.0000 0.0000 x3
Re: 0.0000 0.0000 0.2350 x3
P: 0.0000 0.0000 0.4946 x3
P: 0.0000 0.0000 0.7482 x3

***

Entry 5:
TaReP4 after structural relaxation, computed with PBEsol.

Summary:
Energy of formation from the pure elements   0.629 eV/atom

a b c (Å): 6.8887 6.8887 6.8887
angles (deg): 90.00 90.00 90.00
Space group F-43m (No. 216)
Symmetry-distinct sites (fractional):
Ta: 0.0000 0.0000 0.0000 x4
Re: 0.2500 0.2500 0.2500 x4
P: 0.1251 0.1251 0.6251 x16

***

Entry 6:
Ta2ReP after structural relaxation, computed with PBEsol.

Summary:
Energy of formation from the pure elements   -0.105 eV/atom

a b c (Å): 3.2798 4.1576 4.4892
angles (deg): 90.00 90.00 90.00
Space group Pmmm (No. 47)
Symmetry-distinct sites (fractional):
Ta: 0.0000 0.0000 0.0000 x1
Ta: 0.5000 0.0000 0.5000 x1
Re: 0.0000 0.5000 0.5000 x1
P: 0.5000 0.5000 0.0000 x1